## w
DFT (GGA-PBE) results for a geometry-optimized Cu2TeAs2 structure. Values from VASP.

Properties
Space group: P4/mbm

Geometry as Quantum ESPRESSO input:
```
&SYSTEM
  ibrav = 0, nat = 10, ntyp = 3
/
ATOMIC_SPECIES
Cu 63.55 Cu.upf
Te 127.60 Te.upf
As 74.92 As.upf
CELL_PARAMETERS angstrom
8.095 0.000 0.000
0.000 8.095 0.000
0.000 0.000 2.838
ATOMIC_POSITIONS angstrom
Cu 1.152 2.895 0.000
Cu 2.895 6.943 0.000
Cu 5.200 1.152 0.000
Cu 6.943 5.200 0.000
Te 0.000 0.000 1.419
Te 4.048 4.048 1.419
As 1.195 5.242 1.419
As 2.853 1.195 1.419
As 5.242 6.901 1.419
As 6.901 2.853 1.419
```

=====

## x
DFT (GGA-PBE) results for a geometry-optimized Cu2TeAs2 structure. Values from VASP.

Properties
Space group: P4/mbm

Geometry as Quantum ESPRESSO input:
```
&SYSTEM
  ibrav = 0, nat = 10, ntyp = 3
/
ATOMIC_SPECIES
Cu 63.55 Cu.upf
Te 127.60 Te.upf
As 74.92 As.upf
CELL_PARAMETERS angstrom
7.834 0.000 0.000
0.000 7.834 0.000
0.000 0.000 2.981
ATOMIC_POSITIONS angstrom
Cu 1.226 2.691 0.000
Cu 2.691 6.608 0.000
Cu 5.143 1.226 0.000
Cu 6.608 5.143 0.000
Te 0.000 0.000 0.000
Te 3.917 3.917 0.000
As 0.956 4.873 1.491
As 2.961 0.956 1.491
As 4.873 6.878 1.491
As 6.878 2.961 1.491
```

=====

Result of the stability comparison: w is the least stable of them.

=====

## w
DFT (GGA-PBE) results for a geometry-optimized CuTe2As2 structure. Values from VASP.

Properties
Space group: P4/mbm

Geometry as Quantum ESPRESSO input:
```
&SYSTEM
  ibrav = 0, nat = 10, ntyp = 3
/
ATOMIC_SPECIES
Cu 63.55 Cu.upf
Te 127.60 Te.upf
As 74.92 As.upf
CELL_PARAMETERS angstrom
7.660 0.000 0.000
0.000 7.660 0.000
0.000 0.000 4.116
ATOMIC_POSITIONS angstrom
Cu 0.000 0.000 0.000
Cu 3.830 3.830 0.000
Te 1.182 2.649 2.058
Te 2.649 6.479 2.058
Te 5.012 1.182 2.058
Te 6.479 5.012 2.058
As 1.406 5.236 0.000
As 2.424 1.406 0.000
As 5.236 6.254 0.000
As 6.254 2.424 0.000
```

=====

## x
DFT (GGA-PBE) results for a geometry-optimized CuTe2As2 structure. Values from VASP.

Properties
Space group: I4/mmm

Geometry as Quantum ESPRESSO input:
```
&SYSTEM
  ibrav = 0, nat = 5, ntyp = 3
/
ATOMIC_SPECIES
Cu 63.55 Cu.upf
Te 127.60 Te.upf
As 74.92 As.upf
CELL_PARAMETERS angstrom
-2.852 2.852 4.190
2.852 -2.852 4.190
2.852 2.852 -4.190
ATOMIC_POSITIONS angstrom
Cu 0.000 0.000 0.000
Te 0.000 0.000 2.469
Te 0.000 0.000 5.911
As 2.852 0.000 2.095
As 0.000 2.852 2.095
```

=====

Result of the stability comparison: w is the least stable of them.

=====

## w
DFT (GGA-PBE) results for a geometry-optimized ZnCu2As structure. Values from VASP.

Properties
Space group: F-43m

Geometry as Quantum ESPRESSO input:
```
&SYSTEM
  ibrav = 0, nat = 4, ntyp = 3
/
ATOMIC_SPECIES
Zn 65.41 Zn.upf
Cu 63.55 Cu.upf
As 74.92 As.upf
CELL_PARAMETERS angstrom
0.000 3.084 3.084
3.084 0.000 3.084
3.084 3.084 0.000
ATOMIC_POSITIONS angstrom
Zn 0.000 0.000 0.000
Cu 1.542 1.542 1.542
Cu 3.084 3.084 3.084
As 4.626 4.626 4.626
```

=====

## x
DFT (GGA-PBE) results for a geometry-optimized ZnCu2As structure. Values from VASP.

Properties
Space group: P4mm

Geometry as Quantum ESPRESSO input:
```
&SYSTEM
  ibrav = 0, nat = 4, ntyp = 3
/
ATOMIC_SPECIES
Zn 65.41 Zn.upf
Cu 63.55 Cu.upf
As 74.92 As.upf
CELL_PARAMETERS angstrom
3.355 0.000 0.000
0.000 3.355 0.000
0.000 0.000 5.106
ATOMIC_POSITIONS angstrom
Zn 0.000 0.000 0.000
Cu 0.000 0.000 2.630
Cu 1.677 1.677 3.941
As 1.677 1.677 1.463
```

=====

Result of the stability comparison: w is the least stable of them.

=====

## w
DFT (GGA-PBE) results for a geometry-optimized ZnCu2As structure. Values from VASP.

Properties
Space group: P2/m

Geometry as Quantum ESPRESSO input:
```
&SYSTEM
  ibrav = 0, nat = 4, ntyp = 3
/
ATOMIC_SPECIES
Zn 65.41 Zn.upf
Cu 63.55 Cu.upf
As 74.92 As.upf
CELL_PARAMETERS angstrom
2.894 0.000 0.000
0.000 3.595 0.000
-0.026 0.000 5.476
ATOMIC_POSITIONS angstrom
Zn 0.000 0.000 0.000
Cu 1.441 1.798 1.301
Cu 1.426 1.798 4.174
As -0.013 0.000 2.738
```

=====

## x
DFT (GGA-PBE) results for a geometry-optimized ZnCu2As structure. Values from VASP.

Properties
Space group: P4/mmm

Geometry as Quantum ESPRESSO input:
```
&SYSTEM
  ibrav = 0, nat = 4, ntyp = 3
/
ATOMIC_SPECIES
Zn 65.41 Zn.upf
Cu 63.55 Cu.upf
As 74.92 As.upf
CELL_PARAMETERS angstrom
3.869 0.000 0.000
0.000 3.869 0.000
0.000 0.000 3.785
ATOMIC_POSITIONS angstrom
Zn 0.000 0.000 0.000
Cu 0.000 1.934 1.893
Cu 1.934 0.000 1.893
As 1.934 1.934 0.000
```

=====

Result of the stability comparison: w is the least stable of them.

=====

## w
DFT (GGA-PBE) results for a geometry-optimized ZnCuAs3 structure. Values from VASP.

Properties
Space group: Pm-3m

Geometry as Quantum ESPRESSO input:
```
&SYSTEM
  ibrav = 0, nat = 5, ntyp = 3
/
ATOMIC_SPECIES
Zn 65.41 Zn.upf
Cu 63.55 Cu.upf
As 74.92 As.upf
CELL_PARAMETERS angstrom
4.815 0.000 0.000
0.000 4.815 0.000
0.000 0.000 4.815
ATOMIC_POSITIONS angstrom
Zn 0.000 0.000 0.000
Cu 2.408 2.408 2.408
As 0.000 0.000 2.408
As 0.000 2.408 0.000
As 2.408 0.000 0.000
```

=====

## x
DFT (GGA-PBE) results for a geometry-optimized ZnCuAs3 structure. Values from VASP.

Properties
Space group: Pm-3m

Geometry as Quantum ESPRESSO input:
```
&SYSTEM
  ibrav = 0, nat = 5, ntyp = 3
/
ATOMIC_SPECIES
Zn 65.41 Zn.upf
Cu 63.55 Cu.upf
As 74.92 As.upf
CELL_PARAMETERS angstrom
4.731 0.000 0.000
0.000 4.731 0.000
0.000 0.000 4.731
ATOMIC_POSITIONS angstrom
Zn 0.000 0.000 0.000
Cu 2.366 2.366 2.366
As 0.000 2.366 2.366
As 2.366 0.000 2.366
As 2.366 2.366 0.000
```

=====

Result of the stability comparison: w is the least stable of them.

=====

## w
DFT (GGA-PBE) results for a geometry-optimized Zn3CuAs structure. Values from VASP.

Properties
Space group: Pm-3m

Geometry as Quantum ESPRESSO input:
```
&SYSTEM
  ibrav = 0, nat = 5, ntyp = 3
/
ATOMIC_SPECIES
Zn 65.41 Zn.upf
Cu 63.55 Cu.upf
As 74.92 As.upf
CELL_PARAMETERS angstrom
4.869 0.000 0.000
0.000 4.869 0.000
0.000 0.000 4.869
ATOMIC_POSITIONS angstrom
Zn 0.000 0.000 2.435
Zn 0.000 2.435 0.000
Zn 2.435 0.000 0.000
Cu 2.435 2.435 2.435
As 0.000 0.000 0.000
```

=====

## x
DFT (GGA-PBE) results for a geometry-optimized Zn3CuAs structure. Values from VASP.

Properties
Space group: Pm-3m

Geometry as Quantum ESPRESSO input:
```
&SYSTEM
  ibrav = 0, nat = 5, ntyp = 3
/
ATOMIC_SPECIES
Zn 65.41 Zn.upf
Cu 63.55 Cu.upf
As 74.92 As.upf
CELL_PARAMETERS angstrom
4.581 0.000 0.000
0.000 4.581 0.000
0.000 0.000 4.581
ATOMIC_POSITIONS angstrom
Zn 0.000 0.000 2.291
Zn 0.000 2.291 0.000
Zn 2.291 0.000 0.000
Cu 0.000 0.000 0.000
As 2.291 2.291 2.291
```

=====

Result of the stability comparison: w is the least stable of them.

=====

## w
DFT (GGA-PBE) results for a geometry-optimized ZrCu3As structure. Values from VASP.

Properties
Space group: Pm-3m

Geometry as Quantum ESPRESSO input:
```
&SYSTEM
  ibrav = 0, nat = 5, ntyp = 3
/
ATOMIC_SPECIES
Zr 91.22 Zr.upf
Cu 63.55 Cu.upf
As 74.92 As.upf
CELL_PARAMETERS angstrom
4.843 0.000 0.000
0.000 4.843 0.000
0.000 0.000 4.843
ATOMIC_POSITIONS angstrom
Zr 0.000 0.000 0.000
Cu 0.000 0.000 2.422
Cu 0.000 2.422 0.000
Cu 2.422 0.000 0.000
As 2.422 2.422 2.422
```

=====

## x
DFT (GGA-PBE) results for a geometry-optimized ZrCu3As structure. Values from VASP.

Properties
Space group: Pm-3m

Geometry as Quantum ESPRESSO input:
```
&SYSTEM
  ibrav = 0, nat = 5, ntyp = 3
/
ATOMIC_SPECIES
Zr 91.22 Zr.upf
Cu 63.55 Cu.upf
As 74.92 As.upf
CELL_PARAMETERS angstrom
4.457 0.000 0.000
0.000 4.457 0.000
0.000 0.000 4.457
ATOMIC_POSITIONS angstrom
Zr 0.000 0.000 0.000
Cu 0.000 2.228 2.228
Cu 2.228 0.000 2.228
Cu 2.228 2.228 0.000
As 2.228 2.228 2.228
```

=====

Result of the stability comparison: w is the least stable of them.

=====

## w
DFT (GGA-PBE) results for a geometry-optimized Dy3As structure. Values from VASP.

Properties
Space group: P-4m2

Geometry as Quantum ESPRESSO input:
```
&SYSTEM
  ibrav = 0, nat = 4, ntyp = 2
/
ATOMIC_SPECIES
Dy 162.50 Dy.upf
As 74.92 As.upf
CELL_PARAMETERS angstrom
3.972 0.000 0.000
0.000 3.972 0.000
0.000 0.000 7.608
ATOMIC_POSITIONS angstrom
Dy 0.000 0.000 0.000
Dy 0.000 1.986 4.896
Dy 1.986 0.000 2.713
As 1.986 1.986 0.000
```

=====

## x
DFT (GGA-PBE) results for a geometry-optimized Dy3As structure. Values from VASP.

Properties
Space group: I4/mmm

Geometry as Quantum ESPRESSO input:
```
&SYSTEM
  ibrav = 0, nat = 4, ntyp = 2
/
ATOMIC_SPECIES
Dy 162.50 Dy.upf
As 74.92 As.upf
CELL_PARAMETERS angstrom
-2.238 2.238 5.164
2.238 -2.238 5.164
2.238 2.238 -5.164
ATOMIC_POSITIONS angstrom
Dy 0.000 0.000 0.000
Dy 2.238 0.000 2.582
Dy 0.000 2.238 2.582
As 0.000 0.000 5.164
```

=====

Result of the stability comparison: x is the least stable of them.